1.
This record from the Alexandria database describes a relaxed structure of ZrTaTc2Ge. The functional is GGA-PBE.

Unit cell a=4.729 b=4.835 c=4.729 alpha=90.00 beta=90.00 gamma=90.00
Fractional positions:
1 Zr 0.500 0.500 0.500
2 Ta 0.000 0.000 0.000
3 Ge 0.000 0.500 0.000
4 Tc 0.500 0.000 0.000
5 Tc 0.000 0.000 0.500

Summary:
The crystal system is tetragonal. The calculation puts the formation enthalpy at 0 K at 1.11 eV/atom. The space group is No. 123.

***

2.
This record from the Alexandria database describes a relaxed structure of TaGeTe3. The functional is GGA-PBE.

Unit cell a=5.252 b=5.252 c=5.252 alpha=90.00 beta=90.00 gamma=90.00
Last column: magnetic moment on the atom in μB.
Fractional positions:
1 Te 0.000 0.500 0.000  -0.17
2 Te 0.000 0.000 0.500  -0.13
3 Te 0.500 0.000 0.000  -0.12
4 Ta 0.500 0.500 0.500  1.72
5 Ge 0.000 0.000 0.000  0.00

Summary:
As for the formation energy without anion corrections: 1.10 eV/atom. The crystal system is cubic. The space group is No. 221.

***

no.,density of states at the Fermi level (states/eV/cell)
1,4.612
2,3.659